Compound: NdPu3Pd8
Source: Alexandria via LeMat-Bulk
Functional: GGA-PBE
Structure: relaxed

Cell lengths 5.4872, 5.4872, 8.9245 Å; angles 90.00, 90.00, 120.00 degrees
Space group P3m1 (No. 156)
Unique sites:
Nd (0.0000, 0.0000, 0.0000) [1 per cell]
Pu (0.0000, 0.0000, 0.3785) [1 per cell]
Pu (0.6667, 0.3333, 0.4886) [1 per cell]
Pu (0.6667, 0.3333, 0.8520) [1 per cell]
Pd (0.1648, 0.3295, 0.6799) [3 per cell]
Pd (0.3333, 0.6667, 0.4291) [1 per cell]
Pd (0.3333, 0.6667, 0.9298) [1 per cell]
Pd (0.5026, 0.0052, 0.1800) [3 per cell]

Output
Calculated density   12.33 g/cm3
Formation enthalpy at 0 K   -0.574 eV per atom
Total energy   -8.02 eV per atom